The following is a GGA-PBE calculation of a relaxed structure of Eu2CdTe, from Alexandria.

It has space group P4/mmm (No. 123), with a = 4.0554 Å, b = 4.0554 Å, c = 7.5569 Å, α = 90.00°, β = 90.00° and γ = 90.00°. The distinct sites, in fractional coordinates, are Eu at (0.0000, 0.0000, 0.2432), Cd at (0.5000, 0.5000, 0.5000) and Te at (0.5000, 0.5000, 0.0000).

As for the uncorrected formation energy: -887 meV/atom. The excess energy over the best structure of this formula in the dataset is 0.000 eV/f.u.

***

The following is a GGA-PBE calculation of a relaxed structure of Cs3KAg, from Alexandria.

It has space group Pm-3m (No. 221), with a = 8.2017 Å, b = 8.2017 Å, c = 8.2017 Å, α = 90.00°, β = 90.00° and γ = 90.00°. The distinct sites, in fractional coordinates, are Cs at (0.0000, 0.0000, 0.5000), K at (0.0000, 0.0000, 0.0000) and Ag at (0.5000, 0.5000, 0.5000).

As for the formation energy: 2.04 eV per formula unit. The excess energy over the best structure of this formula in the dataset is 1.883 eV/f.u.

***

The following is a GGA-PBE calculation of a relaxed structure of La3H12Pd5, from Alexandria.

It has space group Ia-3d (No. 230), with a = 12.2315 Å, b = 12.2315 Å, c = 12.2315 Å, α = 90.00°, β = 90.00° and γ = 90.00°. The distinct sites, in fractional coordinates, are La at (0.0000, 0.2500, 0.1250), H at (0.0378, 0.0454, 0.6375), Pd at (0.0000, 0.0000, 0.0000) and Pd at (0.0000, 0.2500, 0.3750).

***

Number 1: energy -7.038 eV per atom. Number 2: energy -0.894 eV per atom. Number 3: energy -4.373 eV per atom.